No. 1
# Cs2RbInAg PBE-GGA relaxed
data_Cs2RbInAg
_chemical_formula_sum 'Cs2 Rb1 In1 Ag1'
_cell_length_a 7.2529
_cell_length_b 7.2529
_cell_length_c 7.0282
_cell_angle_alpha 90.00
_cell_angle_beta 90.00
_cell_angle_gamma 90.00
_symmetry_space_group_name_H-M 'P 4/m m m'
_symmetry_Int_Tables_number 123
_symmetry_space_group_name_Hall '-P 4 2'
loop_
_atom_site_label
_atom_site_fract_x
_atom_site_fract_y
_atom_site_fract_z
Cs1 0.0000 0.5000 0.0000
Rb1 0.0000 0.0000 0.5000
In1 0.0000 0.0000 0.0000
Ag1 0.5000 0.5000 0.5000
# Energy of formation (eV per atom): 0.293
# E (eV per atom): -1.3600



No. 2
# Ba2BeHgPt PBE-GGA relaxed
data_Ba2BeHgPt
_chemical_formula_sum 'Ba2 Be1 Hg1 Pt1'
_cell_length_a 6.1602
_cell_length_b 6.1602
_cell_length_c 4.4506
_cell_angle_alpha 90.00
_cell_angle_beta 90.00
_cell_angle_gamma 90.00
_symmetry_space_group_name_H-M 'P 4/m m m'
_symmetry_Int_Tables_number 123
_symmetry_space_group_name_Hall '-P 4 2'
loop_
_atom_site_label
_atom_site_fract_x
_atom_site_fract_y
_atom_site_fract_z
Ba1 0.0000 0.5000 0.0000
Be1 0.0000 0.0000 0.5000
Hg1 0.5000 0.5000 0.5000
Pt1 0.0000 0.0000 0.0000
# Energy of formation (eV per atom): -0.370
# E (eV per atom): -3.1533



No. 3
# LiBe2PH2 PBE-GGA relaxed
data_LiBe2PH2
_chemical_formula_sum 'Li2 Be4 P2 H4'
_cell_length_a 5.8554
_cell_length_b 4.2566
_cell_length_c 6.2719
_cell_angle_alpha 90.00
_cell_angle_beta 116.55
_cell_angle_gamma 90.00
_symmetry_space_group_name_H-M 'P 1 21/m 1'
_symmetry_Int_Tables_number 11
_symmetry_space_group_name_Hall '-P 2yb'
loop_
_atom_site_label
_atom_site_fract_x
_atom_site_fract_y
_atom_site_fract_z
Li1 0.0079 0.2500 0.3174
Be1 0.3635 0.0002 0.0981
P1 0.2768 0.2500 0.7681
H1 0.1722 0.7500 0.0645
H2 0.3454 0.2500 0.2581
# E (eV per atom): -3.9136



- What is the formula in the second record?
  Ba2BeHgPt



Repeat the third record exactly.
# LiBe2PH2 PBE-GGA relaxed
data_LiBe2PH2
_chemical_formula_sum 'Li2 Be4 P2 H4'
_cell_length_a 5.8554
_cell_length_b 4.2566
_cell_length_c 6.2719
_cell_angle_alpha 90.00
_cell_angle_beta 116.55
_cell_angle_gamma 90.00
_symmetry_space_group_name_H-M 'P 1 21/m 1'
_symmetry_Int_Tables_number 11
_symmetry_space_group_name_Hall '-P 2yb'
loop_
_atom_site_label
_atom_site_fract_x
_atom_site_fract_y
_atom_site_fract_z
Li1 0.0079 0.2500 0.3174
Be1 0.3635 0.0002 0.0981
P1 0.2768 0.2500 0.7681
H1 0.1722 0.7500 0.0645
H2 0.3454 0.2500 0.2581
# E (eV per atom): -3.9136



- What is the E in the third record?
  -3.9136 eV per atom